{
  "formula": "Ta2CuSe",
  "functional": "GGA-PBE",
  "state": "optimized geometry",
  "cell": [[-2.367, -1.849, 1.419], [0.687, -3.340, -3.205], [2.935, -1.820, 2.525]],
  "species": ["Cu", "Ta", "Ta", "Se"],
  "frac_coords": [[0.500, 0.000, 0.500], [0.500, 0.500, 0.000], [0.000, 0.000, 0.000], [0.000, 0.500, 0.500]],
  "dft_energy_ev_per_atom": -7.61,
  "volume_a3_per_atom": 16.627,
  "e_form_raw_ev_per_atom": 0.2128
}


{
  "formula": "CaHg4Rh",
  "functional": "GGA-PBE",
  "state": "optimized geometry",
  "cell": [[0.000, 4.078, 4.078], [4.078, 0.000, 4.078], [4.078, 4.078, 0.000]],
  "species": ["Hg", "Hg", "Hg", "Hg", "Rh", "Ca"],
  "frac_coords": [[0.873, 0.376, 0.376], [0.376, 0.376, 0.873], [0.376, 0.376, 0.376], [0.376, 0.873, 0.376], [0.750, 0.750, 0.750], [0.000, 0.000, 0.000]],
  "dft_energy_ev_per_atom": -1.71,
  "volume_a3_per_atom": 22.613,
  "formation_enthalpy_0k_ev_per_atom": 0.05
}


{
  "formula": "Zr4Tl2N",
  "functional": "GGA-PBE",
  "state": "optimized geometry",
  "cell": [[-0.852, -1.719, -3.981], [3.607, -2.534, 0.322], [-2.813, -7.672, 1.462]],
  "species": ["Zr", "Zr", "Zr", "Zr", "N", "Tl", "Tl"],
  "frac_coords": [[0.848, 0.848, 0.305], [0.000, 0.500, 0.000], [0.152, 0.152, 0.695], [0.500, 0.000, 0.000], [0.000, 0.000, 0.000], [0.351, 0.351, 0.299], [0.649, 0.649, 0.701]],
  "dft_energy_ev_per_atom": -7.25,
  "relative_energy_mev_per_atom": 0,
  "volume_a3_per_atom": 21.459,
  "e_form_raw_ev_per_atom": -0.4990
}